## Pm3Dy4ErS8 (PBE-GGA)

Data for a relaxed structure of Pm3Dy4ErS8.

Cell lengths 7.8911, 7.9111, 7.8904 Å; angles 119.91, 120.00, 90.00 degrees
With the nearest neighbours (Å) after each atom.
Positions (direct):
S1 0.7543 0.7628 0.5085  3 Dy 2.75, 3 Pm 2.84
S2 0.2485 0.7569 0.4970  3 Dy 2.75-2.81, 1 Er 2.78, 2 Pm 2.84
S3 0.7515 0.2431 0.9916  3 Dy 2.75-2.81, 1 Er 2.78, 2 Pm 2.84
Dy1 0.0000 0.0000 0.5000  6 S 2.75
S4 0.7515 0.2431 0.5030  3 Dy 2.75-2.81, 1 Er 2.78, 2 Pm 2.84
Dy2 0.0000 0.0000 0.0000  6 S 2.75
Dy3 0.5000 0.0000 0.0000  6 S 2.81
Er1 0.0000 0.5000 0.0000  6 S 2.78
Pm1 0.5000 0.5000 0.5000  6 S 2.84
S5 0.2457 0.2372 0.4915  3 Dy 2.75, 3 Pm 2.84
S6 0.2401 0.2431 0.9916  3 Dy 2.75-2.81, 1 Er 2.78, 2 Pm 2.84
S7 0.7599 0.7569 0.0084  3 Dy 2.75-2.81, 1 Er 2.78, 2 Pm 2.84
S8 0.2485 0.7569 0.0084  3 Dy 2.75-2.81, 1 Er 2.78, 2 Pm 2.84
Dy4 0.5000 0.0000 0.5000  6 S 2.75
Pm2 0.0000 0.5000 0.5000  6 S 2.84
Pm3 0.5000 0.5000 0.0000  6 S 2.84

## Properties
- N(E_F) (states/eV per atom) = 0.529
- raw total energy (eV/atom) = -6.39
- formation energy (no corrections) (eV/atom) = -1.995
- space-group type = No. 166